First-principles (PBE) data for a geometry-optimized K3Ti2Se4 structure, as listed in Alexandria via LeMat-Bulk.

a = 4.298 Å, b = 7.785 Å, c = 9.860 Å
α = 119.48°, β = 90.00°, γ = 106.02°
Site moments in Bohr magnetons follow the coordinates.
Positions (direct):
Se 0.686 0.372 0.129  0.00
Se 0.887 0.774 0.593  0.00
Se 0.113 0.226 0.407  0.00
Se 0.314 0.628 0.871  0.00
Ti 0.306 0.612 0.621  0.09
Ti 0.694 0.388 0.379  0.09
K 0.372 0.744 0.252  0.00
K 0.000 0.000 0.000  0.00
K 0.628 0.256 0.748  0.00

## Properties
Formation energy without anion corrections (eV/atom): -1.117
Calculated volume (Å³/f.u.): 272.4
Magnetic moment (μB/f.u.): 0.22



First-principles (PBE) data for a geometry-optimized K2TiSe4 structure, as listed in Alexandria via LeMat-Bulk.

a = 3.805 Å, b = 7.353 Å, c = 7.923 Å
α = 109.72°, β = 90.00°, γ = 90.00°
Positions (direct):
Se 0.500 0.155 0.305
Se 0.000 0.689 0.988
Se 0.000 0.454 0.155
Se 0.500 0.988 0.838
K 0.500 0.370 0.743
K 0.500 0.773 0.399
Ti 0.000 0.071 0.071

## Properties
Formation energy without anion corrections (eV/atom): -0.881
Calculated volume (Å³/f.u.): 208.7
Magnetic moment (μB/f.u.): 0.00



First-principles (PBE) data for a geometry-optimized KTiSe3 structure, as listed in Alexandria via LeMat-Bulk.

a = 7.319 Å, b = 7.319 Å, c = 8.079 Å
α = 116.93°, β = 116.93°, γ = 90.00°
Site moments in Bohr magnetons follow the coordinates.
Positions (direct):
Se 0.407 0.407 0.814  0.21
Se 0.629 0.873 0.746  -0.03
Se 0.127 0.371 0.254  -0.03
Se 0.593 0.593 0.186  0.21
Se 0.117 0.873 0.746  -0.03
Se 0.127 0.883 0.254  -0.03
K 0.911 0.411 0.822  0.00
K 0.589 0.089 0.178  0.00
Ti 0.000 0.000 0.000  0.34
Ti 0.250 0.750 0.500  0.52

## Properties
Formation energy without anion corrections (eV/atom): -0.745
Excess energy over the best structure of this formula in the dataset (meV per atom): 277
Calculated volume (Å³/f.u.): 166.2
Magnetic moment (μB/f.u.): 0.83



First-principles (PBE) data for a geometry-optimized K2TiSe2 structure, as listed in Alexandria via LeMat-Bulk.

a = 5.722 Å, b = 5.722 Å, c = 6.105 Å
α = 62.05°, β = 62.05°, γ = 90.00°
Site moments in Bohr magnetons follow the coordinates.
Positions (direct):
Ti 0.000 0.000 0.000  -1.85
Se 0.250 0.750 0.500  0.11
Se 0.750 0.250 0.500  0.11
K 0.649 0.649 0.701  -0.01
K 0.351 0.351 0.299  -0.01

## Properties
Formation energy without anion corrections (eV/atom): -0.003
Excess energy over the best structure of this formula in the dataset (meV per atom): 1029
Calculated volume (Å³/f.u.): 149.7
Magnetic moment (μB/f.u.): 2.00



First-principles (PBE) data for a geometry-optimized KTiSe2 structure, as listed in Alexandria via LeMat-Bulk.

a = 3.827 Å, b = 3.827 Å, c = 8.012 Å
α = 76.18°, β = 76.18°, γ = 60.00°
Site moments in Bohr magnetons follow the coordinates.
Positions (direct):
Se 0.270 0.270 0.189  -0.04
Se 0.064 0.064 0.809  -0.03
K 0.499 0.499 0.504  0.00
Ti 0.667 0.667 0.998  0.87

## Properties
Formation energy without anion corrections (eV/atom): -1.181
Calculated volume (Å³/f.u.): 97.7
Magnetic moment (μB/f.u.): 1.00



First-principles (PBE) data for a geometry-optimized K3Ti5Se12 structure, as listed in Alexandria via LeMat-Bulk.

a = 14.332 Å, b = 14.332 Å, c = 14.332 Å
α = 109.47°, β = 109.47°, γ = 109.47°
Positions (direct):
Se 0.604 0.595 0.913
Se 0.087 0.905 0.396
Se 0.913 0.818 0.809
Se 0.104 0.691 0.508
Se 0.405 0.396 0.587
Se 0.913 0.095 0.604
Se 0.396 0.992 0.809
Se 0.492 0.809 0.896
Se 0.008 0.604 0.691
Se 0.087 0.182 0.191
Se 0.992 0.396 0.309
Se 0.809 0.492 0.396
Se 0.896 0.309 0.492
Se 0.191 0.508 0.604
Se 0.595 0.992 0.682
Se 0.896 0.587 0.905
Se 0.691 0.587 0.182
Se 0.604 0.008 0.191
Se 0.587 0.691 0.682
Se 0.413 0.104 0.595
Se 0.396 0.405 0.087
Se 0.309 0.896 0.992
Se 0.587 0.896 0.405
Se 0.818 0.905 0.008
Se 0.905 0.087 0.896
Se 0.104 0.413 0.095
Se 0.182 0.087 0.691
Se 0.095 0.913 0.104
Se 0.682 0.492 0.595
Se 0.318 0.809 0.413
Se 0.508 0.191 0.104
Se 0.691 0.104 0.008
Se 0.413 0.309 0.318
Se 0.809 0.318 0.913
Se 0.905 0.818 0.508
Se 0.492 0.682 0.095
Se 0.682 0.191 0.587
Se 0.318 0.508 0.405
Se 0.095 0.182 0.492
Se 0.008 0.405 0.818
Se 0.191 0.682 0.087
Se 0.508 0.318 0.905
Se 0.182 0.095 0.992
Se 0.992 0.595 0.182
Se 0.595 0.604 0.413
Se 0.818 0.913 0.309
Se 0.405 0.008 0.318
Se 0.309 0.413 0.818
Ti 0.375 0.250 0.125
Ti 0.000 0.000 0.000
Ti 0.500 0.000 0.000
Ti 0.625 0.875 0.250
Ti 0.125 0.375 0.250
Ti 0.750 0.625 0.375
Ti 0.500 0.500 0.000
Ti 0.875 0.625 0.750
Ti 0.750 0.125 0.875
Ti 0.625 0.750 0.875
Ti 0.500 0.000 0.500
Ti 0.375 0.125 0.750
Ti 0.125 0.750 0.375
Ti 0.250 0.375 0.625
Ti 0.000 0.000 0.500
Ti 0.875 0.250 0.625
Ti 0.250 0.875 0.125
Ti 0.000 0.500 0.000
Ti 0.000 0.500 0.500
Ti 0.500 0.500 0.500
K 0.125 0.250 0.875
K 0.750 0.375 0.125
K 0.875 0.750 0.125
K 0.250 0.625 0.875
K 0.625 0.375 0.750
K 0.250 0.125 0.375
K 0.750 0.875 0.625
K 0.375 0.625 0.250
K 0.375 0.750 0.625
K 0.875 0.125 0.250
K 0.125 0.875 0.750
K 0.625 0.250 0.375

## Properties
Formation energy without anion corrections (eV/atom): -0.966
Calculated volume (Å³/f.u.): 566.6
Magnetic moment (μB/f.u.): 0.00



First-principles (PBE) data for a geometry-optimized K2Ti3Se6 structure, as listed in Alexandria via LeMat-Bulk.

a = 6.388 Å, b = 6.388 Å, c = 8.225 Å
α = 82.55°, β = 74.97°, γ = 60.00°
Site moments in Bohr magnetons follow the coordinates.
Positions (direct):
Se 0.273 0.000 0.189  -0.03
Se 0.397 0.670 0.810  -0.03
Se 0.934 0.670 0.190  -0.03
Se 0.066 0.330 0.810  -0.03
Se 0.727 0.000 0.811  -0.03
Se 0.603 0.330 0.190  -0.03
Ti 0.000 0.000 0.000  0.54
Ti 0.668 0.664 0.000  0.54
Ti 0.332 0.336 0.000  0.54
K 0.167 0.667 0.500  0.00
K 0.833 0.333 0.500  0.00

## Properties
Formation energy without anion corrections (eV/atom): -1.223
Calculated volume (Å³/f.u.): 280.7
Magnetic moment (μB/f.u.): 1.77



First-principles (PBE) data for a geometry-optimized KTi2Se structure, as listed in Alexandria via LeMat-Bulk.

a = 4.709 Å, b = 4.709 Å, c = 10.117 Å
α = 76.54°, β = 76.54°, γ = 90.00°
Positions (direct):
Se 0.000 0.000 0.000
Se 0.750 0.250 0.500
K 0.250 0.750 0.500
K 0.500 0.500 0.000
Ti 0.375 0.125 0.750
Ti 0.875 0.125 0.750
Ti 0.875 0.125 0.250
Ti 0.875 0.625 0.250

## Properties
Formation energy without anion corrections (eV/atom): 0.213
Calculated volume (Å³/f.u.): 105.9
Magnetic moment (μB/f.u.): 0.00



First-principles (PBE) data for a geometry-optimized KTi4Se8 structure, as listed in Alexandria via LeMat-Bulk.

a = 7.110 Å, b = 7.110 Å, c = 9.355 Å
α = 67.67°, β = 67.67°, γ = 60.00°
Positions (direct):
Se 0.773 0.773 0.185
Se 0.728 0.728 0.816
Se 0.227 0.227 0.815
Se 0.773 0.270 0.185
Se 0.272 0.272 0.184
Se 0.227 0.730 0.815
Se 0.270 0.773 0.185
Se 0.730 0.227 0.815
Ti 0.000 0.500 0.000
Ti 0.500 0.000 0.000
Ti 0.000 0.000 0.000
Ti 0.500 0.500 0.000
K 0.500 0.500 0.500

## Properties
Formation energy without anion corrections (eV/atom): -1.207
Excess energy over the best structure of this formula in the dataset (meV per atom): 0
Calculated volume (Å³/f.u.): 368.0
Magnetic moment (μB/f.u.): 0.00



First-principles (PBE) data for a geometry-optimized K3TiSe3 structure, as listed in Alexandria via LeMat-Bulk.

a = 8.087 Å, b = 8.087 Å, c = 8.039 Å
α = 97.81°, β = 97.81°, γ = 113.96°
Positions (direct):
K 0.265 0.735 0.000
K 0.608 0.608 0.362
K 0.735 0.265 0.000
K 0.392 0.392 0.638
K 0.827 0.173 0.500
K 0.173 0.827 0.500
Se 0.883 0.883 0.180
Se 0.117 0.117 0.820
Se 0.856 0.563 0.728
Se 0.437 0.144 0.272
Se 0.144 0.437 0.272
Se 0.563 0.856 0.728
Ti 0.847 0.847 0.863
Ti 0.153 0.153 0.137

## Properties
Formation energy without anion corrections (eV/atom): -1.214
Calculated volume (Å³/f.u.): 232.6
Magnetic moment (μB/f.u.): 0.00



First-principles (PBE) data for a geometry-optimized KTi2Se3 structure, as listed in Alexandria via LeMat-Bulk.

a = 3.866 Å, b = 7.933 Å, c = 9.865 Å
α = 90.00°, β = 90.00°, γ = 104.11°
Positions (direct):
K 0.754 0.509 0.750
K 0.246 0.491 0.250
Ti 0.000 0.000 0.500
Ti 0.478 0.955 0.750
Ti 0.000 0.000 0.000
Ti 0.522 0.045 0.250
Se 0.616 0.232 0.451
Se 0.922 0.845 0.250
Se 0.384 0.768 0.549
Se 0.616 0.232 0.049
Se 0.078 0.155 0.750
Se 0.384 0.768 0.951

## Properties
Formation energy without anion corrections (eV/atom): -1.158
Calculated volume (Å³/f.u.): 146.7
Magnetic moment (μB/f.u.): 0.00



First-principles (PBE) data for a geometry-optimized K2TiSe2 structure, as listed in Alexandria via LeMat-Bulk.

a = 6.262 Å, b = 7.356 Å, c = 8.236 Å
α = 116.52°, β = 112.34°, γ = 90.00°
Positions (direct):
Se 0.898 0.201 0.795
Se 0.102 0.799 0.205
Se 0.602 0.406 0.205
Se 0.398 0.594 0.795
K 0.350 0.006 0.701
K 0.650 0.994 0.299
K 0.150 0.306 0.299
K 0.850 0.694 0.701
Ti 0.750 0.500 0.000
Ti 0.250 0.500 0.000

## Properties
Formation energy without anion corrections (eV/atom): -1.031
Excess energy over the best structure of this formula in the dataset (meV per atom): 0
Calculated volume (Å³/f.u.): 153.7
Magnetic moment (μB/f.u.): 0.00



First-principles (PBE) data for a geometry-optimized K2TiSe structure, as listed in Alexandria via LeMat-Bulk.

a = 12.369 Å, b = 12.369 Å, c = 9.089 Å
α = 47.12°, β = 47.12°, γ = 90.00°
Site moments in Bohr magnetons follow the coordinates.
Positions (direct):
Se 0.750 0.250 0.500  -0.07
Se 0.000 0.000 0.000  -0.07
K 0.963 0.625 0.250  0.01
K 0.375 0.213 0.750  0.01
K 0.875 0.037 0.750  0.01
K 0.787 0.125 0.250  0.01
Ti 0.250 0.750 0.500  1.68
Ti 0.500 0.500 0.000  1.68

## Properties
Formation energy without anion corrections (eV/atom): -0.123
Calculated volume (Å³/f.u.): 189.1
Magnetic moment (μB/f.u.): 2.37



First-principles (PBE) data for a geometry-optimized KTi3Se6 structure, as listed in Alexandria via LeMat-Bulk.

a = 3.597 Å, b = 11.664 Å, c = 11.583 Å
α = 106.87°, β = 90.00°, γ = 90.00°
Positions (direct):
Se 0.750 0.136 0.049
Se 0.250 0.864 0.951
Se 0.250 0.463 0.628
Se 0.250 0.060 0.759
Se 0.750 0.537 0.372
Se 0.750 0.757 0.676
Se 0.750 0.166 0.549
Se 0.250 0.656 0.142
Se 0.250 0.243 0.324
Se 0.750 0.940 0.241
Se 0.250 0.834 0.451
Se 0.750 0.344 0.858
Ti 0.750 0.347 0.471
Ti 0.250 0.653 0.529
Ti 0.250 0.272 0.702
Ti 0.750 0.728 0.298
Ti 0.750 0.966 0.853
Ti 0.250 0.034 0.147
K 0.250 0.379 0.112
K 0.750 0.621 0.888

## Properties
Formation energy without anion corrections (eV/atom): -1.122
Calculated volume (Å³/f.u.): 232.5
Magnetic moment (μB/f.u.): 0.00



First-principles (PBE) data for a geometry-optimized KTiSe2 structure, as listed in Alexandria via LeMat-Bulk.

a = 4.152 Å, b = 7.680 Å, c = 8.708 Å
α = 115.90°, β = 103.77°, γ = 90.00°
Positions (direct):
Ti 0.420 0.371 0.416
Ti 0.241 0.189 0.055
Se 0.329 0.545 0.233
Se 0.012 0.464 0.600
Se 0.649 0.095 0.871
Se 0.332 0.015 0.238
K 0.692 0.645 0.960
K 0.968 0.914 0.511

## Properties
Formation energy without anion corrections (eV/atom): -1.150
Calculated volume (Å³/f.u.): 120.4
Magnetic moment (μB/f.u.): 0.00



First-principles (PBE) data for a geometry-optimized KTiSe3 structure, as listed in Alexandria via LeMat-Bulk.

a = 4.852 Å, b = 8.279 Å, c = 8.708 Å
α = 101.71°, β = 89.86°, γ = 107.08°
Positions (direct):
Se 0.997 0.994 0.136
Se 0.151 0.304 0.611
Se 0.003 0.006 0.864
Se 0.675 0.352 0.984
Se 0.849 0.696 0.389
Se 0.325 0.648 0.016
K 0.624 0.249 0.343
K 0.376 0.751 0.657
Ti 0.839 0.674 0.122
Ti 0.161 0.326 0.878

## Properties
Formation energy without anion corrections (eV/atom): -1.023
Excess energy over the best structure of this formula in the dataset (meV per atom): 0
Calculated volume (Å³/f.u.): 163.4
Magnetic moment (μB/f.u.): 0.00



First-principles (PBE) data for a geometry-optimized K2TiSe2 structure, as listed in Alexandria via LeMat-Bulk.

a = 8.447 Å, b = 8.447 Å, c = 3.847 Å
α = 90.00°, β = 90.00°, γ = 90.00°
Site moments in Bohr magnetons follow the coordinates.
Positions (direct):
Se 0.188 0.688 0.500  -0.10
Se 0.812 0.312 0.500  -0.10
Se 0.312 0.188 0.500  -0.10
Se 0.688 0.812 0.500  -0.10
Ti 0.500 0.500 0.000  1.83
Ti 0.000 0.000 0.000  1.83
K 0.883 0.617 0.000  0.01
K 0.383 0.883 0.000  0.01
K 0.617 0.117 0.000  0.01
K 0.117 0.383 0.000  0.01

## Properties
Formation energy without anion corrections (eV/atom): -0.128
Excess energy over the best structure of this formula in the dataset (meV per atom): 904
Calculated volume (Å³/f.u.): 137.2
Magnetic moment (μB/f.u.): 2.00



First-principles (PBE) data for a geometry-optimized KTiSe2 structure, as listed in Alexandria via LeMat-Bulk.

a = 4.975 Å, b = 4.975 Å, c = 4.975 Å
α = 60.00°, β = 60.00°, γ = 60.00°
Site moments in Bohr magnetons follow the coordinates.
Positions (direct):
K 0.000 0.000 0.000  0.01
Se 0.250 0.250 0.250  -0.12
Se 0.750 0.750 0.750  -0.12
Ti 0.500 0.500 0.500  1.15

## Properties
Formation energy without anion corrections (eV/atom): -0.527
Calculated volume (Å³/f.u.): 87.1
Magnetic moment (μB/f.u.): 1.07



First-principles (PBE) data for a geometry-optimized KTi3Se structure, as listed in Alexandria via LeMat-Bulk.

a = 4.906 Å, b = 4.906 Å, c = 4.906 Å
α = 90.00°, β = 90.00°, γ = 90.00°
Positions (direct):
Ti 0.500 0.000 0.000
Ti 0.000 0.500 0.000
Ti 0.000 0.000 0.500
Se 0.000 0.000 0.000
K 0.500 0.500 0.500

## Properties
Formation energy without anion corrections (eV/atom): 0.477
Excess energy over the best structure of this formula in the dataset (meV per atom): 0
Calculated volume (Å³/f.u.): 118.1
Magnetic moment (μB/f.u.): 0.00